[1]
Density functional theory data (PBE) for a relaxed ThCo2Sn2 crystal.

## Properties
- energy above the most stable polymorph in this dataset (eV/atom) = 0.000
- DOS at the Fermi energy (states/eV/cell) = 10.8
- crystal system = monoclinic
- energy of formation from the pure elements (meV per atom) = -323

a b c (Å): 10.5623 3.8678 5.0853
angles (deg): 90.00 107.30 90.00
With the nearest neighbours (Å) after each atom.
Space group C2/m (No. 12)
Unique sites:
Th: 0.0000 0.0000 0.0000 (multiplicity 2)  4 Co 2.82
Co: 0.2040 0.5000 0.1189 (multiplicity 4)  4 Sn 2.58-2.63, 2 Co 2.62, 2 Th 2.82
Sn: 0.1517 0.5000 0.5895 (multiplicity 4)  4 Co 2.58-2.63

=====

[2]
Density functional theory data (PBE) for a relaxed Th2CoSn crystal.

## Properties
- energy above the most stable polymorph in this dataset (eV/atom) = 0.041
- DOS at the Fermi energy (states/eV/cell) = 3.2
- crystal system = tetragonal
- energy of formation from the pure elements (meV per atom) = -316

a b c (Å): 3.3826 3.3826 8.5152
angles (deg): 90.00 90.00 90.00
With the nearest neighbours (Å) after each atom.
Space group P4/mmm (No. 123)
Unique sites:
Th: 0.0000 0.0000 0.2064 (multiplicity 2)  4 Co 2.97
Co: 0.5000 0.5000 0.0000 (multiplicity 1)  8 Th 2.97
Sn: 0.5000 0.5000 0.5000 (multiplicity 1)  4 Sn 3.38, 8 Th 3.46